(one)
# SbAs2

A PBEsol-optimized structure of SbAs2 (SCAN, Alexandria via LeMat-Bulk).

As for the space group: Cmcm.

abc: 7.8128 7.8128 5.0308
angles: 90.00 90.00 153.95
Fractional positions:
Sb 0.1064 0.8936 0.7500
Sb 0.8936 0.1064 0.2500
As 0.2069 0.7931 0.2500
As 0.4139 0.5861 0.7500
As 0.5861 0.4139 0.2500
As 0.7931 0.2069 0.7500

(two)
# SbAs2

A PBEsol-optimized structure of SbAs2 (SCAN, Alexandria via LeMat-Bulk).

As for the space group: C2/m.

abc: 6.8649 6.8649 5.8212
angles: 109.39 109.39 33.82
Fractional positions:
Sb 0.1666 0.1666 0.4474
Sb 0.8334 0.8334 0.5526
As 0.1564 0.1564 0.9069
As 0.4778 0.4778 0.1925
As 0.5222 0.5222 0.8075
As 0.8436 0.8436 0.0931

(three)
# SbAs2

A PBEsol-optimized structure of SbAs2 (SCAN, Alexandria via LeMat-Bulk).

As for the space group: Cmcm.

abc: 6.3137 6.3137 5.6684
angles: 90.00 90.00 143.39
Fractional positions:
Sb 0.1658 0.8342 0.7500
Sb 0.8342 0.1658 0.2500
As 0.1609 0.8391 0.2500
As 0.4955 0.5045 0.7500
As 0.5045 0.4955 0.2500
As 0.8391 0.1609 0.7500

The structure with the least stability is (one).

(one)
# Sb3As

A PBEsol-optimized structure of Sb3As (SCAN, Alexandria via LeMat-Bulk).

As for the space group: R-3m.

abc: 7.2930 7.2930 7.2930
angles: 33.50 33.50 33.50
Fractional positions:
Sb 0.0000 0.0000 0.0000
Sb 0.2441 0.2441 0.2441
Sb 0.7559 0.7559 0.7559
As 0.5000 0.5000 0.5000

(two)
# Sb3As

A PBEsol-optimized structure of Sb3As (SCAN, Alexandria via LeMat-Bulk).

As for the space group: Pmm2.

abc: 4.1624 5.9759 4.4432
angles: 90.00 90.00 90.00
Fractional positions:
Sb 0.0000 0.0000 0.0000
Sb 0.0000 0.5000 0.0982
Sb 0.5000 0.0000 0.5550
As 0.5000 0.5000 0.4982

The structure with the least stability is (one).

(one)
# Sb2AsSe

A PBEsol-optimized structure of Sb2AsSe (SCAN, Alexandria via LeMat-Bulk).

As for the space group: I4/mmm.

abc: 5.0627 5.0627 5.0627
angles: 110.07 110.07 108.27
Fractional positions:
Sb 0.0000 0.5000 0.5000
Sb 0.5000 0.0000 0.5000
As 0.0000 0.0000 0.0000
Se 0.5000 0.5000 0.0000

(two)
# Sb2AsSe

A PBEsol-optimized structure of Sb2AsSe (SCAN, Alexandria via LeMat-Bulk).

As for the space group: R-3m.

abc: 6.7606 6.7606 6.7606
angles: 36.67 36.67 36.67
Fractional positions:
Sb 0.2463 0.2463 0.2463
Sb 0.7537 0.7537 0.7537
As 0.5000 0.5000 0.5000
Se 0.0000 0.0000 0.0000

The structure with the least stability is (one).

(one)
# SbTe2AsSe

A PBEsol-optimized structure of SbTe2AsSe (SCAN, Alexandria via LeMat-Bulk).

As for the space group: P4/mmm.

abc: 5.3670 5.3670 5.2507
angles: 90.00 90.00 90.00
Fractional positions:
Sb 0.0000 0.0000 0.0000
Te 0.0000 0.5000 0.5000
Te 0.5000 0.0000 0.5000
As 0.5000 0.5000 0.0000
Se 0.0000 0.0000 0.5000

(two)
# SbTe2AsSe

A PBEsol-optimized structure of SbTe2AsSe (SCAN, Alexandria via LeMat-Bulk).

As for the space group: P4/mmm.

abc: 5.2314 5.2314 5.4207
angles: 90.00 90.00 90.00
Fractional positions:
Sb 0.0000 0.0000 0.0000
Te 0.0000 0.5000 0.5000
Te 0.5000 0.0000 0.5000
As 0.0000 0.0000 0.5000
Se 0.5000 0.5000 0.0000

The structure with the least stability is (one).

(one)
# Si2SbAs

A PBEsol-optimized structure of Si2SbAs (SCAN, Alexandria via LeMat-Bulk).

As for the space group: Pmmm.

abc: 3.3884 4.5538 4.8427
angles: 90.00 90.00 90.00
Fractional positions:
Si 0.0000 0.0000 0.0000
Si 0.5000 0.0000 0.5000
Sb 0.0000 0.5000 0.5000
As 0.5000 0.5000 0.0000

(two)
# Si2SbAs

A PBEsol-optimized structure of Si2SbAs (SCAN, Alexandria via LeMat-Bulk).

As for the space group: P4mm.

abc: 3.2032 3.2032 7.2256
angles: 90.00 90.00 90.00
Fractional positions:
Si 0.0000 0.0000 0.0000
Si 0.5000 0.5000 0.1730
Sb 0.5000 0.5000 0.7040
As 0.0000 0.0000 0.3801

The structure with the least stability is (one).

(one)
# SrSb3As

A PBEsol-optimized structure of SrSb3As (SCAN, Alexandria via LeMat-Bulk).

As for the space group: Pm-3m.

abc: 5.4080 5.4080 5.4080
angles: 90.00 90.00 90.00
Fractional positions:
Sr 0.0000 0.0000 0.0000
Sb 0.0000 0.5000 0.5000
Sb 0.5000 0.0000 0.5000
Sb 0.5000 0.5000 0.0000
As 0.5000 0.5000 0.5000

(two)
# SrSb3As

A PBEsol-optimized structure of SrSb3As (SCAN, Alexandria via LeMat-Bulk).

As for the space group: Pm-3m.

abc: 5.7850 5.7850 5.7850
angles: 90.00 90.00 90.00
Fractional positions:
Sr 0.0000 0.0000 0.0000
Sb 0.0000 0.0000 0.5000
Sb 0.0000 0.5000 0.0000
Sb 0.5000 0.0000 0.0000
As 0.5000 0.5000 0.5000

The structure with the least stability is (two).